Density functional theory data (GGA-PBE) for a relaxed HoErIrAu crystal.

abc: 4.934 4.934 4.934
angles: 60.00 60.00 60.00
Fractional positions:
Ir  0.500  0.500  0.500
Au  0.000  0.000  0.000
Er  0.250  0.250  0.250
Ho  0.750  0.750  0.750

Calculated values
Formation enthalpy at 0 K: -0.8569 eV/atom
Space group: No. 216
Polymorph energy (0 for the lowest one): 13 meV per atom



Density functional theory data (GGA-PBE) for a relaxed LaHo2ErAu4 crystal.

abc: 5.085 5.085 9.095
angles: 73.77 73.77 60.00
Fractional positions:
Ho  0.753  0.753  0.742
Ho  0.247  0.247  0.258
Au  0.129  0.129  0.614
Au  0.385  0.385  0.846
Au  0.871  0.871  0.386
Au  0.615  0.615  0.154
Er  0.500  0.500  0.500
La  0.000  0.000  0.000

Calculated values
Formation enthalpy at 0 K: -0.8393 eV/atom
Space group: No. 166



Density functional theory data (GGA-PBE) for a relaxed LaHoEr2Au4 crystal.

abc: 5.077 5.077 9.100
angles: 73.80 73.80 60.00
Fractional positions:
Au  0.128  0.128  0.615
Au  0.872  0.872  0.385
Au  0.615  0.615  0.154
Au  0.385  0.385  0.846
Ho  0.500  0.500  0.500
La  0.000  0.000  0.000
Er  0.753  0.753  0.742
Er  0.247  0.247  0.258

Calculated values
Formation enthalpy at 0 K: -0.8401 eV/atom
Space group: No. 166



Density functional theory data (GGA-PBE) for a relaxed HoEr2MgAu4 crystal.

abc: 4.972 4.972 8.644
angles: 73.29 73.29 60.00
Fractional positions:
Au  0.123  0.123  0.631
Au  0.373  0.373  0.882
Au  0.877  0.877  0.369
Au  0.627  0.627  0.118
Mg  0.500  0.500  0.500
Er  0.245  0.245  0.264
Er  0.755  0.755  0.736
Ho  0.000  0.000  0.000

Calculated values
Formation enthalpy at 0 K: -0.8266 eV/atom
Space group: No. 166



> Number 4 is which compound?

HoEr2MgAu4



Copy entry 2 word for word.
Density functional theory data (GGA-PBE) for a relaxed LaHo2ErAu4 crystal.

abc: 5.085 5.085 9.095
angles: 73.77 73.77 60.00
Fractional positions:
Ho  0.753  0.753  0.742
Ho  0.247  0.247  0.258
Au  0.129  0.129  0.614
Au  0.385  0.385  0.846
Au  0.871  0.871  0.386
Au  0.615  0.615  0.154
Er  0.500  0.500  0.500
La  0.000  0.000  0.000

Calculated values
Formation enthalpy at 0 K: -0.8393 eV/atom
Space group: No. 166



> Look up the formation enthalpy at 0 K of the third one.

-0.8401 eV/atom